First-principles (PBE) data for an optimized crystal structure of InSb2Pt, as listed in Alexandria.

Lattice parameters (Å, degrees): 4.2208 5.4834 5.4851 58.28 90.00 90.00
With the nearest neighbours (Å) after each atom.
Fractional positions:
Sb: 0.0000 0.9268 0.9268  2 Pt 2.71, 2 Sb 3.02
Sb: 0.0000 0.5732 0.5732  2 Pt 2.71, 2 Sb 3.02
Pt: 0.5000 0.7500 0.7500  2 In 2.67, 4 Sb 2.71
In: 0.5000 0.2500 0.2500  2 Pt 2.67

Calculated values
As for the energy relative to the elements, uncorrected: -1.14 eV per formula unit. As for the uncorrected energy: -18.2 eV per cell. The calculation puts the total moment at 0.0 μB per formula unit. The space-group type is Cmmm.


First-principles (PBE) data for an optimized crystal structure of AlSbMo2, as listed in Alexandria.

Lattice parameters (Å, degrees): 4.8117 4.8117 4.8591 81.46 81.46 39.61
With the nearest neighbours (Å) after each atom.
Fractional positions:
Mo: 0.0041 0.0041 0.9596  2 Mo 2.62, 3 Al 2.66-2.82, 1 Sb 2.82
Sb: 0.2500 0.2500 0.2500  6 Mo 2.82-2.99, 4 Al 2.93
Mo: 0.4959 0.4959 0.5404  2 Mo 2.62, 3 Al 2.66-2.82, 1 Sb 2.82
Al: 0.7500 0.7500 0.7500  6 Mo 2.66-2.82, 4 Sb 2.93

Calculated values
As for the energy relative to the elements, uncorrected: 0.76 eV per formula unit. As for the uncorrected energy: -28.8 eV per cell. For the energy above the most stable polymorph in this dataset, the calculation gives 0.97 eV/f.u. The calculation puts the total moment at 0.0 μB per formula unit. The space-group type is C2/m.


First-principles (PBE) data for an optimized crystal structure of Pm4ZnRh3, as listed in Alexandria.

Lattice parameters (Å, degrees): 3.8823 4.4474 10.8186 90.00 90.00 90.00
With the nearest neighbours (Å) after each atom.
Fractional positions:
Pm: 0.5000 0.0000 0.6374  7 Rh 3.00-3.19
Rh: 0.0000 0.5000 0.5891  7 Pm 2.83-3.06, 2 Rh 2.95
Pm: 0.0000 0.0000 0.1421  3 Rh 2.89-2.99, 4 Zn 3.06
Rh: 0.0000 0.0000 0.4093  7 Pm 2.89-3.14, 2 Rh 2.95
Pm: 0.0000 0.5000 0.8509  5 Rh 2.83-3.08, 2 Zn 3.06
Zn: 0.5000 0.5000 0.0691  2 Rh 2.67
Rh: 0.5000 0.0000 0.9323  2 Zn 2.67, 2 Pm 2.99
Pm: 0.5000 0.5000 0.3699  6 Rh 2.98-3.06, 1 Zn 3.25

Calculated values
As for the uncorrected energy: -47.4 eV per cell. For the energy relative to the elements, the calculation gives -0.63 eV per atom. The calculation puts the total moment at 0.0 μB per formula unit. The space-group type is Pmm2.


First-principles (PBE) data for an optimized crystal structure of Cs2NpO6, as listed in Alexandria.

Lattice parameters (Å, degrees): 6.4462 6.4462 5.2505 90.00 90.00 120.00
With the nearest neighbours (Å) after each atom.
Fractional positions:
Cs: 0.3333 0.6667 0.8067  12 O 3.28-3.43
O: 0.2844 0.1422 0.7053  1 Np 1.92
O: 0.7156 0.8578 0.2947  1 Np 1.92
O: 0.8578 0.1422 0.7053  1 Np 1.92
Np: 0.0000 0.0000 0.5000  6 O 1.92
Cs: 0.6667 0.3333 0.1933  12 O 3.28-3.43
O: 0.1422 0.2844 0.2947  1 Np 1.92
O: 0.8578 0.7156 0.7053  1 Np 1.92
O: 0.1422 0.8578 0.2947  1 Np 1.92

Calculated values
As for the energy relative to the elements, uncorrected: -14.98 eV per formula unit. As for the uncorrected energy: -59.4 eV per cell. For the energy above the most stable polymorph in this dataset, the calculation gives 2.18 eV/f.u. The calculation puts the total moment at 2.9 μB per formula unit. The space-group type is P-3m1.


First-principles (PBE) data for an optimized crystal structure of CdP, as listed in Alexandria.

Lattice parameters (Å, degrees): 9.2688 9.6256 8.1207 90.00 90.00 90.00
With the nearest neighbours (Å) after each atom.
Fractional positions:
Cd: 0.6543 0.0000 0.0000  2 P 2.59, 1 Cd 2.86
P: 0.0000 0.6098 0.5000  1 P 2.11
Cd: 0.4043 0.7500 0.7500  2 P 2.59, 1 Cd 2.86
P: 0.0000 0.8902 0.0000  1 P 2.11
P: 0.5000 0.3902 0.0000  1 P 2.11
Cd: 0.9043 0.2500 0.7500  2 P 2.59, 1 Cd 2.86
P: 0.7500 0.8598 0.7500  1 P 2.11
Cd: 0.1543 0.0000 0.5000  2 P 2.59, 1 Cd 2.86
P: 0.2500 0.8598 0.2500  1 P 2.11
Cd: 0.5957 0.7500 0.2500  2 P 2.59, 1 Cd 2.86
P: 0.5000 0.8902 0.5000  1 P 2.11
Cd: 0.6543 0.5000 0.5000  2 P 2.59, 1 Cd 2.86
P: 0.7500 0.3598 0.2500  1 P 2.11
P: 0.0000 0.3902 0.5000  1 P 2.11
Cd: 0.9043 0.7500 0.2500  2 P 2.59, 1 Cd 2.86
P: 0.7500 0.6402 0.7500  1 P 2.11
Cd: 0.1543 0.5000 0.0000  2 P 2.59, 1 Cd 2.86
P: 0.7500 0.1402 0.2500  1 P 2.11
Cd: 0.8457 0.0000 0.5000  2 P 2.59, 1 Cd 2.86
P: 0.2500 0.1402 0.7500  1 P 2.11
P: 0.5000 0.6098 0.0000  1 P 2.11
Cd: 0.5957 0.2500 0.7500  2 P 2.59, 1 Cd 2.86
Cd: 0.8457 0.5000 0.0000  2 P 2.59, 1 Cd 2.86
Cd: 0.0957 0.2500 0.2500  2 P 2.59, 1 Cd 2.86
Cd: 0.3457 0.5000 0.5000  2 P 2.59, 1 Cd 2.86
P: 0.5000 0.1098 0.5000  1 P 2.11
Cd: 0.4043 0.2500 0.2500  2 P 2.59, 1 Cd 2.86
P: 0.2500 0.6402 0.2500  1 P 2.11
P: 0.0000 0.1098 0.0000  1 P 2.11
Cd: 0.3457 0.0000 0.0000  2 P 2.59, 1 Cd 2.86
Cd: 0.0957 0.7500 0.7500  2 P 2.59, 1 Cd 2.86
P: 0.2500 0.3598 0.7500  1 P 2.11

Calculated values
As for the uncorrected energy: -93.5 eV per cell. For the energy relative to the elements, the calculation gives 0.24 eV per atom. For the energy above the most stable polymorph in this dataset, the calculation gives 0.57 eV/f.u. The calculation puts the total moment at 0.0 μB per formula unit. The space-group type is Fddd.


First-principles (PBE) data for an optimized crystal structure of Pm12Nd6Cd, as listed in Alexandria.

Lattice parameters (Å, degrees): 8.8181 8.8181 8.8181 97.35 97.35 97.35
With the nearest neighbours (Å) after each atom.
Fractional positions:
Pm: 0.7395 0.0002 0.2604  4 Nd 3.41-3.55, 1 Cd 3.45, 6 Pm 3.45-3.73
Pm: 0.4188 0.8289 0.4187  5 Pm 3.24-3.56
Nd: 0.5936 0.8654 0.8656  4 Pm 3.41-3.55, 3 Nd 3.60-3.81, 1 Cd 3.62
Nd: 0.4064 0.1346 0.1344  4 Pm 3.41-3.55, 3 Nd 3.60-3.81, 1 Cd 3.62
Pm: 0.1711 0.5813 0.5812  5 Pm 3.24-3.56
Cd: 0.0000 0.0000 0.0000  6 Pm 3.45, 6 Nd 3.62
Pm: 0.2605 0.9998 0.7396  4 Nd 3.41-3.55, 1 Cd 3.45, 6 Pm 3.45-3.73
Pm: 0.8289 0.4187 0.4188  5 Pm 3.24-3.56
Nd: 0.1346 0.1344 0.4064  4 Pm 3.41-3.55, 3 Nd 3.60-3.81, 1 Cd 3.62
Nd: 0.8656 0.5936 0.8654  4 Pm 3.41-3.55, 3 Nd 3.60-3.81, 1 Cd 3.62
Pm: 0.9998 0.7396 0.2605  4 Nd 3.41-3.55, 6 Pm 3.45-3.73, 1 Cd 3.45
Pm: 0.5813 0.5812 0.1711  5 Pm 3.24-3.56
Nd: 0.8654 0.8656 0.5936  4 Pm 3.41-3.55, 3 Nd 3.60-3.81, 1 Cd 3.62
Pm: 0.0002 0.2604 0.7395  4 Nd 3.41-3.55, 6 Pm 3.45-3.73, 1 Cd 3.45
Nd: 0.1344 0.4064 0.1346  4 Pm 3.41-3.55, 3 Nd 3.60-3.81, 1 Cd 3.62
Pm: 0.7396 0.2605 0.9998  4 Nd 3.41-3.55, 1 Cd 3.45, 6 Pm 3.45-3.73
Pm: 0.2604 0.7395 0.0002  4 Nd 3.41-3.55, 1 Cd 3.45, 6 Pm 3.45-3.73
Pm: 0.5812 0.1711 0.5813  5 Pm 3.24-3.56
Pm: 0.4187 0.4188 0.8289  5 Pm 3.24-3.56

Calculated values
As for the uncorrected energy: -84.5 eV per cell. For the energy relative to the elements, the calculation gives 0.10 eV per atom. The calculation puts the total moment at 0.0 μB per formula unit. The space-group type is R-3m.